The following is a PBE with a Hubbard U calculation of an optimized crystal structure of MnAg6F8, from Alexandria via LeMat-Bulk.

POSCAR file:
```
MnAg6F8
1.0
-0.6235 3.1878 -4.3554
5.8702 -2.8382 -2.9176
-6.3879 -2.9460 -1.2419
F Ag Mn
8 6 1
Cartesian
0.9321 1.3908 -3.9083
-0.6247 -2.0628 -6.2133
-2.0733 -3.9872 -4.6066
3.7224 -1.1877 -6.1950
-2.8820 0.0562 -5.8532
-4.8636 -1.4086 -2.3199
-0.5165 -0.5335 -2.3016
1.7408 -2.6526 -2.6617
-2.7351 -0.4628 -1.5579
1.5939 -2.1336 -6.9570
-4.1297 -3.3222 -3.4512
-0.6559 0.0762 -5.0176
-0.4853 -2.6726 -3.4973
2.9885 0.7259 -5.0638
-0.3117 1.5939 -2.1777
```

Properties
The value obtained for the magnetic moment is 4.98 μB per cell. As for the total energy: -58.60 eV per cell. The density of states at the Fermi level comes out at 1.09 states/eV/f.u.